# 1
First-principles (SCAN) data for a PBEsol-optimized structure of Cu6Mo5O18, as listed in Alexandria via LeMat-Bulk. Values from VASP.

```
&SYSTEM
  ibrav = 0, nat = 58, ntyp = 3
/
ATOMIC_SPECIES
O 16.00 O.upf
Cu 63.55 Cu.upf
Mo 95.94 Mo.upf
CELL_PARAMETERS angstrom
6.186 0.000 0.000
3.093 9.336 0.024
3.093 0.325 11.482
ATOMIC_POSITIONS crystal
O 0.577 0.123 0.438
O 0.159 0.590 0.251
Cu 0.334 0.428 0.147
Mo 0.308 0.233 0.409
O 0.001 0.090 0.751
O 0.040 0.219 0.911
Mo 0.692 0.767 0.591
O 0.422 0.421 0.406
Cu 0.391 0.406 0.913
Mo 0.050 0.733 0.909
Cu 0.752 0.422 0.339
O 0.751 0.921 0.906
O 0.278 0.399 0.765
O 0.999 0.910 0.249
O 0.992 0.412 0.427
O 0.582 0.219 0.909
O 0.249 0.079 0.094
O 0.960 0.781 0.089
Mo 0.950 0.267 0.091
O 0.831 0.719 0.411
Cu 0.512 0.078 0.161
O 0.418 0.781 0.091
O 0.169 0.912 0.927
Cu 0.091 0.928 0.647
O 0.841 0.410 0.749
Cu 0.248 0.578 0.661
O 0.326 0.606 0.925
O 0.169 0.281 0.589
O 0.622 0.747 0.746
Cu 0.666 0.572 0.853
Mo 0.185 0.250 0.750
O 0.378 0.253 0.254
O 0.856 0.894 0.575
Cu 0.488 0.922 0.839
Mo 0.173 0.583 0.404
Cu 0.609 0.594 0.087
O 0.115 0.753 0.754
Mo 0.840 0.083 0.904
Mo 0.160 0.917 0.096
O 0.831 0.088 0.073
O 0.290 0.719 0.409
O 0.139 0.377 0.062
O 0.144 0.106 0.425
O 0.008 0.588 0.573
Cu 0.290 0.906 0.413
O 0.442 0.101 0.735
O 0.674 0.394 0.075
Cu 0.710 0.094 0.587
Mo 0.827 0.417 0.596
O 0.710 0.281 0.591
O 0.885 0.247 0.246
Mo 0.815 0.750 0.250
Cu 0.909 0.072 0.353
O 0.558 0.899 0.265
O 0.722 0.601 0.235
O 0.861 0.623 0.938
O 0.578 0.579 0.594
O 0.423 0.877 0.562
```


# 2
First-principles (SCAN) data for a PBEsol-optimized structure of Cu3Mo2O9, as listed in Alexandria via LeMat-Bulk. Values from VASP.

Properties
energy above the most stable polymorph in this dataset = 0.0 meV/atom

```
&SYSTEM
  ibrav = 0, nat = 28, ntyp = 3
/
ATOMIC_SPECIES
O 16.00 O.upf
Cu 63.55 Cu.upf
Mo 95.94 Mo.upf
CELL_PARAMETERS angstrom
7.215 0.022 -0.063
3.080 7.109 -0.002
0.092 3.490 7.239
ATOMIC_POSITIONS crystal
O 0.421 0.196 0.514
O 0.086 0.792 0.618
Cu 0.866 0.717 0.089
Cu 0.062 0.660 0.472
O 0.136 0.630 0.028
O 0.610 0.739 0.156
O 0.120 0.044 0.781
Mo 0.800 0.213 0.188
Cu 0.134 0.283 0.911
O 0.024 0.521 0.333
O 0.579 0.804 0.486
O 0.466 0.677 0.825
Cu 0.292 0.406 0.272
O 0.534 0.323 0.175
Mo 0.200 0.787 0.812
O 0.746 0.908 0.836
O 0.880 0.956 0.219
Mo 0.561 0.173 0.707
O 0.976 0.479 0.667
Mo 0.439 0.827 0.293
O 0.309 0.666 0.364
O 0.691 0.334 0.636
O 0.390 0.261 0.844
Cu 0.708 0.594 0.728
Cu 0.938 0.340 0.528
O 0.254 0.092 0.164
O 0.864 0.370 0.972
O 0.914 0.208 0.382
```


# 3
First-principles (SCAN) data for a PBEsol-optimized structure of Cu3Mo2O9, as listed in Alexandria via LeMat-Bulk. Values from VASP.

Properties
energy above the most stable polymorph in this dataset = 15.3 meV/atom
density of states at the Fermi level = 0.3 states/eV/cell

```
&SYSTEM
  ibrav = 0, nat = 56, ntyp = 3
/
ATOMIC_SPECIES
O 16.00 O.upf
Mo 95.94 Mo.upf
Cu 63.55 Cu.upf
CELL_PARAMETERS angstrom
-1.644 -0.220 6.624
4.801 -5.727 1.002
10.603 9.404 2.944
ATOMIC_POSITIONS crystal
O 0.750 0.027 0.614
O 0.466 0.646 0.356
Mo 0.250 0.769 0.325
Cu 0.750 0.172 0.148
Cu 0.250 0.828 0.852
O 0.966 0.854 0.856
O 0.750 0.727 0.225
O 0.250 0.812 0.208
O 0.750 0.227 0.275
O 0.750 0.943 0.405
O 0.534 0.264 0.445
Cu 0.750 0.672 0.352
O 0.034 0.236 0.945
Cu 0.250 0.328 0.648
Cu 0.500 0.500 0.500
O 0.250 0.973 0.386
O 0.750 0.527 0.886
O 0.750 0.688 0.708
Mo 0.250 0.269 0.175
O 0.250 0.057 0.595
Cu 0.500 0.000 0.000
O 0.750 0.443 0.095
O 0.750 0.587 0.478
Mo 0.250 0.330 0.892
Mo 0.750 0.231 0.675
O 0.250 0.273 0.775
O 0.466 0.236 0.945
Mo 0.250 0.830 0.608
O 0.034 0.146 0.144
Cu 0.250 0.207 0.436
O 0.034 0.646 0.356
O 0.250 0.312 0.292
Mo 0.750 0.170 0.392
O 0.250 0.473 0.114
Mo 0.750 0.731 0.825
O 0.466 0.146 0.144
O 0.250 0.913 0.978
Cu 0.750 0.793 0.564
O 0.466 0.736 0.555
Cu 0.250 0.707 0.064
O 0.750 0.087 0.022
O 0.034 0.736 0.555
O 0.250 0.413 0.522
Cu 0.750 0.293 0.936
O 0.250 0.557 0.905
O 0.534 0.854 0.856
O 0.750 0.188 0.792
Cu 0.000 0.000 0.000
Cu 0.000 0.500 0.500
O 0.250 0.773 0.725
O 0.534 0.764 0.055
O 0.534 0.354 0.644
O 0.966 0.764 0.055
O 0.966 0.264 0.445
Mo 0.750 0.670 0.108
O 0.966 0.354 0.644
```


# 4
First-principles (SCAN) data for a PBEsol-optimized structure of CuMoP2O, as listed in Alexandria via LeMat-Bulk. Values from VASP.

Properties
density of states at the Fermi level = 2.1 states/eV/cell

```
&SYSTEM
  ibrav = 0, nat = 5, ntyp = 4
/
ATOMIC_SPECIES
O 16.00 O.upf
P 30.97 P.upf
Cu 63.55 Cu.upf
Mo 95.94 Mo.upf
CELL_PARAMETERS angstrom
3.684 0.000 0.000
0.000 4.727 0.000
0.000 0.000 4.727
ATOMIC_POSITIONS crystal
O 0.500 0.000 0.000
P 0.000 0.500 0.000
Cu 0.500 0.500 0.500
Mo 0.000 0.000 0.000
P 0.000 0.000 0.500
```


# 5
First-principles (SCAN) data for a PBEsol-optimized structure of Cu3MoSO9, as listed in Alexandria via LeMat-Bulk. Values from VASP.

```
&SYSTEM
  ibrav = 0, nat = 56, ntyp = 4
/
ATOMIC_SPECIES
Cu 63.55 Cu.upf
O 16.00 O.upf
Mo 95.94 Mo.upf
S 32.06 S.upf
CELL_PARAMETERS angstrom
-0.170 4.475 -5.124
4.061 -4.577 -4.132
-11.133 -5.710 -4.618
ATOMIC_POSITIONS crystal
Cu 0.500 0.000 0.000
O 0.750 0.023 0.584
O 0.468 0.868 0.832
Mo 0.750 0.255 0.199
Cu 0.750 0.166 0.452
O 0.573 0.752 0.536
Cu 0.250 0.834 0.548
O 0.927 0.752 0.536
O 0.250 0.243 0.306
O 0.250 0.539 0.866
S 0.750 0.822 0.589
O 0.073 0.748 0.036
O 0.750 0.307 0.327
O 0.250 0.103 0.027
O 0.427 0.248 0.464
O 0.750 0.257 0.806
O 0.250 0.977 0.416
O 0.032 0.368 0.668
O 0.532 0.632 0.332
Cu 0.250 0.154 0.169
O 0.250 0.039 0.634
Mo 0.750 0.755 0.301
Mo 0.250 0.245 0.699
S 0.250 0.678 0.089
O 0.750 0.897 0.973
Mo 0.250 0.745 0.801
O 0.532 0.132 0.168
Cu 0.750 0.666 0.048
O 0.750 0.523 0.916
O 0.573 0.252 0.964
Cu 0.250 0.654 0.331
Cu 0.500 0.500 0.500
O 0.250 0.193 0.827
Cu 0.750 0.846 0.831
O 0.968 0.132 0.168
O 0.750 0.807 0.173
O 0.073 0.248 0.464
O 0.927 0.252 0.964
Cu 0.750 0.346 0.669
Cu 0.250 0.334 0.952
O 0.750 0.757 0.694
O 0.750 0.397 0.527
O 0.968 0.632 0.332
Cu 0.000 0.000 0.000
O 0.250 0.743 0.194
O 0.250 0.477 0.084
Cu 0.000 0.500 0.500
O 0.750 0.461 0.134
O 0.750 0.961 0.366
O 0.250 0.603 0.473
S 0.250 0.178 0.411
O 0.468 0.368 0.668
O 0.427 0.748 0.036
S 0.750 0.322 0.911
O 0.250 0.693 0.673
O 0.032 0.868 0.832
```


# 6
First-principles (SCAN) data for a PBEsol-optimized structure of CuSbMo2O8, as listed in Alexandria via LeMat-Bulk. Values from VASP.

```
&SYSTEM
  ibrav = 0, nat = 24, ntyp = 4
/
ATOMIC_SPECIES
O 16.00 O.upf
Mo 95.94 Mo.upf
Cu 63.55 Cu.upf
Sb 121.76 Sb.upf
CELL_PARAMETERS angstrom
4.864 0.000 0.000
0.000 5.530 0.029
-2.432 -2.022 10.632
ATOMIC_POSITIONS crystal
O 0.036 0.884 0.895
O 0.365 0.223 0.577
Mo 0.121 0.730 0.725
O 0.572 0.977 0.207
O 0.877 0.046 0.677
O 0.123 0.954 0.323
Mo 0.604 0.230 0.725
O 0.365 0.523 0.793
O 0.200 0.454 0.323
O 0.635 0.777 0.423
Cu 0.000 0.000 0.500
Sb 0.200 0.250 0.000
Mo 0.879 0.270 0.275
O 0.800 0.546 0.677
O 0.635 0.477 0.207
O 0.964 0.116 0.105
Cu 0.500 0.500 0.500
O 0.428 0.023 0.793
O 0.141 0.616 0.105
O 0.859 0.384 0.895
Mo 0.396 0.770 0.275
Sb 0.800 0.750 0.000
O 0.787 0.277 0.423
O 0.213 0.723 0.577
```


# 7
First-principles (SCAN) data for a PBEsol-optimized structure of CuSnMo2O, as listed in Alexandria via LeMat-Bulk. Values from VASP.

Properties
density of states at the Fermi level = 3.1 states/eV/cell

```
&SYSTEM
  ibrav = 0, nat = 5, ntyp = 4
/
ATOMIC_SPECIES
Mo 95.94 Mo.upf
O 16.00 O.upf
Cu 63.55 Cu.upf
Sn 118.71 Sn.upf
CELL_PARAMETERS angstrom
-3.278 2.117 -2.406
1.320 -2.732 -4.203
-3.375 -3.698 1.344
ATOMIC_POSITIONS crystal
Mo 0.000 0.000 0.500
Mo 0.000 0.500 0.000
O 0.500 0.500 0.500
Cu 0.500 0.000 0.000
Sn 0.000 0.000 0.000
```


# 8
First-principles (SCAN) data for a PBEsol-optimized structure of Sr10Cu5Mo3W2O30, as listed in Alexandria via LeMat-Bulk. Values from VASP.

```
&SYSTEM
  ibrav = 0, nat = 50, ntyp = 5
/
ATOMIC_SPECIES
Sr 87.62 Sr.upf
O 16.00 O.upf
Mo 95.94 Mo.upf
Cu 63.55 Cu.upf
W 183.84 W.upf
CELL_PARAMETERS angstrom
-4.310 -1.410 -2.825
0.408 -4.557 -3.399
-9.432 -13.291 15.974
ATOMIC_POSITIONS crystal
Sr 0.050 0.551 0.849
O 0.633 0.686 0.545
Mo 0.100 0.600 0.699
O 0.721 0.117 0.539
Sr 0.850 0.350 0.450
O 0.783 0.781 0.759
O 0.817 0.819 0.440
O 0.838 0.884 0.945
O 0.417 0.419 0.640
O 0.879 0.483 0.660
O 0.279 0.883 0.461
Cu 0.400 0.900 0.799
O 0.183 0.181 0.560
Cu 0.000 0.500 0.000
O 0.967 0.915 0.654
O 0.385 0.379 0.960
O 0.766 0.714 0.256
Sr 0.550 0.050 0.350
O 0.985 0.978 0.161
O 0.033 0.085 0.346
O 0.478 0.082 0.860
Cu 0.800 0.300 0.600
O 0.562 0.517 0.855
O 0.121 0.517 0.340
Cu 0.600 0.100 0.201
O 0.615 0.621 0.040
Sr 0.950 0.449 0.151
W 0.700 0.201 0.900
O 0.438 0.483 0.145
Sr 0.350 0.850 0.950
O 0.015 0.022 0.839
O 0.367 0.314 0.455
O 0.162 0.116 0.055
O 0.217 0.219 0.241
O 0.922 0.320 0.939
O 0.078 0.680 0.061
Sr 0.150 0.650 0.550
O 0.522 0.918 0.140
O 0.321 0.718 0.739
Cu 0.200 0.700 0.400
O 0.679 0.282 0.261
Mo 0.900 0.400 0.301
Mo 0.500 0.000 0.500
O 0.234 0.286 0.744
Sr 0.450 0.950 0.650
Sr 0.750 0.251 0.749
O 0.583 0.581 0.360
Sr 0.650 0.150 0.050
Sr 0.250 0.749 0.251
W 0.300 0.799 0.100
```


# 9
First-principles (SCAN) data for a PBEsol-optimized structure of CuMoOs2, as listed in Alexandria via LeMat-Bulk. Values from VASP.

Properties
E_form = 0.537 eV per atom
density of states at the Fermi level = 4.2 states/eV/cell

```
&SYSTEM
  ibrav = 0, nat = 4, ntyp = 3
/
ATOMIC_SPECIES
Os 190.23 Os.upf
Mo 95.94 Mo.upf
Cu 63.55 Cu.upf
CELL_PARAMETERS angstrom
2.630 0.015 0.000
-1.135 2.372 0.000
0.000 0.000 9.018
ATOMIC_POSITIONS crystal
Os 0.000 0.000 0.001
Os 0.500 0.500 0.746
Mo 0.500 0.500 0.252
Cu 0.000 0.000 0.501
```


# 10
First-principles (SCAN) data for a PBEsol-optimized structure of CuMo2OsRh, as listed in Alexandria via LeMat-Bulk. Values from VASP.

Properties
E_form = 2.143 eV per atom
density of states at the Fermi level = 4.5 states/eV/cell

```
&SYSTEM
  ibrav = 0, nat = 5, ntyp = 4
/
ATOMIC_SPECIES
Mo 95.94 Mo.upf
Rh 102.91 Rh.upf
Os 190.23 Os.upf
Cu 63.55 Cu.upf
CELL_PARAMETERS angstrom
4.578 0.000 0.000
0.000 4.578 0.000
0.000 0.000 4.613
ATOMIC_POSITIONS crystal
Mo 0.000 0.500 0.000
Rh 0.000 0.000 0.000
Os 0.000 0.000 0.500
Cu 0.500 0.500 0.500
Mo 0.500 0.000 0.000
```


# 11
First-principles (SCAN) data for a PBEsol-optimized structure of ScCu2MoOs, as listed in Alexandria via LeMat-Bulk. Values from VASP.

Properties
E_form = 2.071 eV per atom
density of states at the Fermi level = 3.8 states/eV/cell

```
&SYSTEM
  ibrav = 0, nat = 5, ntyp = 4
/
ATOMIC_SPECIES
Os 190.23 Os.upf
Sc 44.96 Sc.upf
Mo 95.94 Mo.upf
Cu 63.55 Cu.upf
CELL_PARAMETERS angstrom
4.314 0.000 0.000
0.000 4.314 0.000
0.000 0.000 4.449
ATOMIC_POSITIONS crystal
Os 0.500 0.500 0.500
Sc 0.000 0.000 0.000
Mo 0.000 0.000 0.500
Cu 0.500 0.000 0.000
Cu 0.000 0.500 0.000
```


# 12
First-principles (SCAN) data for a PBEsol-optimized structure of Cu3MoP, as listed in Alexandria via LeMat-Bulk. Values from VASP.

Properties
E_form = 1.932 eV per atom
density of states at the Fermi level = 4.9 states/eV/cell

```
&SYSTEM
  ibrav = 0, nat = 5, ntyp = 3
/
ATOMIC_SPECIES
P 30.97 P.upf
Cu 63.55 Cu.upf
Mo 95.94 Mo.upf
CELL_PARAMETERS angstrom
4.553 0.000 0.000
0.000 4.553 0.000
0.000 0.000 4.553
ATOMIC_POSITIONS crystal
P 0.500 0.500 0.500
Cu 0.000 0.500 0.000
Mo 0.000 0.000 0.000
Cu 0.500 0.000 0.000
Cu 0.000 0.000 0.500
```


# 13
First-principles (SCAN) data for a PBEsol-optimized structure of CuMo2P, as listed in Alexandria via LeMat-Bulk. Values from VASP.

Properties
E_form = 0.042 eV per atom
density of states at the Fermi level = 3.1 states/eV/cell

```
&SYSTEM
  ibrav = 0, nat = 4, ntyp = 3
/
ATOMIC_SPECIES
Cu 63.55 Cu.upf
Mo 95.94 Mo.upf
P 30.97 P.upf
CELL_PARAMETERS angstrom
-0.804 1.342 -2.607
-0.057 -3.333 -1.697
-4.110 -1.179 2.452
ATOMIC_POSITIONS crystal
Cu 0.442 0.500 0.756
Mo 0.706 0.500 0.296
Mo 0.047 0.000 0.960
P 0.306 0.000 0.488
```


# 14
First-principles (SCAN) data for a PBEsol-optimized structure of CuMoP2, as listed in Alexandria via LeMat-Bulk. Values from VASP.

Properties
E_form = -0.062 eV per atom
density of states at the Fermi level = 1.7 states/eV/cell

```
&SYSTEM
  ibrav = 0, nat = 4, ntyp = 3
/
ATOMIC_SPECIES
Cu 63.55 Cu.upf
P 30.97 P.upf
Mo 95.94 Mo.upf
CELL_PARAMETERS angstrom
3.081 0.000 0.000
0.000 3.081 0.000
0.000 0.000 5.505
ATOMIC_POSITIONS crystal
Cu 0.500 0.500 0.000
P 0.000 0.000 0.260
Mo 0.500 0.500 0.500
P 0.000 0.000 0.740
```


# 15
First-principles (SCAN) data for a PBEsol-optimized structure of Cu2MoP2, as listed in Alexandria via LeMat-Bulk. Values from VASP.

Properties
E_form = 0.642 eV per atom
density of states at the Fermi level = 2.2 states/eV/cell

```
&SYSTEM
  ibrav = 0, nat = 5, ntyp = 3
/
ATOMIC_SPECIES
P 30.97 P.upf
Cu 63.55 Cu.upf
Mo 95.94 Mo.upf
CELL_PARAMETERS angstrom
3.639 0.000 0.000
0.000 3.639 0.000
-1.820 -1.820 5.217
ATOMIC_POSITIONS crystal
P 0.750 0.250 0.500
Cu 0.609 0.609 0.219
Mo 0.000 0.000 0.000
P 0.250 0.750 0.500
Cu 0.391 0.391 0.781
```


no.,calculated total energy (eV per cell)
1,-847.849
2,-386.356
3,-771.856
4,-76.893
5,-663.458
6,-386.399
7,-116.640
8,-852.048
9,-191.697
10,-179.908
11,-141.045
12,-81.220
13,-95.201
14,-71.130
15,-82.873